Density functional theory data (PBE) for AsPIr2 after structural relaxation. Values from VASP.

Summary:
Space-group type: P4/mmm (123)
Total magnetization: 0.000 μB/atom
Energy relative to the elements: 0.900 eV/f.u.
Relative energy among the computed polymorphs: 48.1 kJ/mol of atoms

```
&SYSTEM
  ibrav = 0, nat = 4, ntyp = 3
/
ATOMIC_SPECIES
As 74.92 As.upf
P 30.97 P.upf
Ir 192.22 Ir.upf
CELL_PARAMETERS angstrom
4.169 0.000 0.000
0.000 4.169 0.000
0.000 0.000 3.391
ATOMIC_POSITIONS crystal
As 0.000 0.000 0.000
P 0.500 0.500 0.000
Ir 0.000 0.500 0.500
Ir 0.500 0.000 0.500
```